## TmTc2Mo (PBE-GGA)

Data for an optimized crystal structure of TmTc2Mo.

Summary:
DFT formation energy, eV per atom: 0.068
M_tot, Bohr magnetons per cell: 0.0
Polymorph energy (0 for the lowest one), meV/atom: 104.0
Calculated total energy, eV per atom: -8.941
Crystal system: tetragonal
ρ, g/cm3: 11.32

Cell: 4.581 4.581 3.220 Å, 90.00 90.00 90.00°
Atoms (fractional coordinates):
Tm 0.000 0.000 0.000
Tc 0.000 0.500 0.500
Tc 0.500 0.000 0.500
Mo 0.500 0.500 0.000